Compound: Si2TcBr
Source: Alexandria
Functional: GGA-PBEsol
Structure: optimized geometry

abc: 3.9471 3.4189 5.7845
angles: 90.00 95.11 90.00
Last column: nearest neighbours and their distance in Å.
Atoms (fractional coordinates):
Si: 0.0000 0.0000 0.0000  2 Si 2.35, 2 Tc 2.37, 1 Br 2.48
Si: 0.4104 0.5000 0.0451  2 Tc 2.29-2.45, 2 Si 2.35
Tc: 0.9146 0.5000 0.2726  4 Si 2.29-2.45
Br: 0.7274 0.0000 0.5967  1 Si 2.48, 2 Tc 2.69

Summary:
The value obtained for the electronic total energy is -5.945 eV per atom. The symmetry is Pm, No. 6. The calculated volume is 19.4 Å³/atom. Its formation energy from raw total energies is 212 meV/atom. For the density, the calculation gives 5.0 g cm⁻³. Its excess energy over the best structure of this formula in the dataset is 0 meV per atom.